No. 1
Material: Pr5GaGe2
Method: DFT, GGA-PBE
State: relaxed

Unit cell a=9.1028 b=9.1028 c=9.1028 alpha=127.93 beta=127.93 gamma=76.74
Fractional positions:
Pr1 0.0000 0.0000 0.0000
Pr2 0.0303 0.5303 0.8512
Pr3 0.1792 0.0303 0.5000
Pr4 0.3208 0.8208 0.8512
Pr5 0.4697 0.3208 0.5000
Pr6 0.5000 0.5000 0.0000
Pr7 0.5303 0.6792 0.5000
Pr8 0.6792 0.1792 0.1488
Pr9 0.8208 0.9697 0.5000
Pr10 0.9697 0.4697 0.1488
Ga1 0.2500 0.2500 0.0000
Ga2 0.7500 0.7500 0.0000
Ge1 0.1224 0.3776 0.5000
Ge2 0.3776 0.8776 0.2552
Ge3 0.6224 0.1224 0.7448
Ge4 0.8776 0.6224 0.5000

Output
Total DFT energy (no corrections) (eV/atom): -5.12
Fermi-level density of states (states/eV per atom): 0.8835
M_tot (μB per cell): 0.000

---

No. 2
Material: Pr3GaGe
Method: DFT, GGA-PBE
State: relaxed

Unit cell a=8.1995 b=8.1995 c=8.6116 alpha=93.39 beta=93.39 gamma=29.76
Fractional positions:
Pr1 0.0469 0.0469 0.1769
Pr2 0.2369 0.2369 0.8218
Pr3 0.4050 0.4050 0.4256
Pr4 0.5950 0.5950 0.5744
Pr5 0.7631 0.7631 0.1782
Pr6 0.9531 0.9531 0.8231
Ga1 0.2097 0.2097 0.4294
Ga2 0.7903 0.7903 0.5706
Ge1 0.3926 0.3926 0.0670
Ge2 0.6074 0.6074 0.9330

Output
Total DFT energy (no corrections) (eV/atom): -4.93
Fermi-level density of states (states/eV per atom): 0.9015
M_tot (μB per cell): 0.832

---

No. 3
Material: Pr6GaGe2
Method: DFT, GGA-PBE
State: relaxed

Unit cell a=8.8617 b=8.8617 c=8.8617 alpha=111.75 beta=109.08 gamma=107.61
Fractional positions:
Pr1 0.0496 0.2469 0.8027
Pr2 0.1717 0.4624 0.2908
Pr3 0.1717 0.8809 0.7092
Pr4 0.3232 0.2338 0.5570
Pr5 0.3232 0.7662 0.0895
Pr6 0.4441 0.2469 0.1973
Pr7 0.5559 0.7531 0.8027
Pr8 0.6768 0.2338 0.9105
Pr9 0.6768 0.7662 0.4430
Pr10 0.8283 0.1191 0.2908
Pr11 0.8283 0.5376 0.7092
Pr12 0.9504 0.7531 0.1973
Ga1 0.0000 0.0000 0.0000
Ga2 0.5000 0.5000 0.0000
Ge1 0.1406 0.5000 0.6406
Ge2 0.3804 0.8804 0.5000
Ge3 0.6196 0.1196 0.5000
Ge4 0.8594 0.5000 0.3594

Output
Total DFT energy (no corrections) (eV/atom): -5.06
Fermi-level density of states (states/eV per atom): 0.8049
M_tot (μB per cell): 0.000

---

No. 4
Material: Pr4Ga3Ge
Method: DFT, GGA-PBE
State: relaxed

Unit cell a=4.1448 b=4.5159 c=11.4374 alpha=90.00 beta=90.00 gamma=90.00
Fractional positions:
Pr1 0.0000 0.0000 0.0000
Pr2 0.0000 0.5000 0.4983
Pr3 0.5000 0.0000 0.2803
Pr4 0.5000 0.5000 0.7814
Ga1 0.0000 0.0000 0.7129
Ga2 0.0000 0.5000 0.2110
Ga3 0.5000 0.0000 0.5690
Ge1 0.5000 0.5000 0.0659

Output
Total DFT energy (no corrections) (eV/atom): -4.77
Fermi-level density of states (states/eV per atom): 0.9282
M_tot (μB per cell): 0.436

---

No. 5
Material: Pr2GaGe2
Method: DFT, GGA-PBE
State: relaxed

Unit cell a=6.0607 b=6.0607 c=10.9820 alpha=112.27 beta=112.27 gamma=41.39
Fractional positions:
Pr1 0.0956 0.0956 0.4099
Pr2 0.2966 0.2966 0.8511
Pr3 0.7034 0.7034 0.1489
Pr4 0.9044 0.9044 0.5901
Ga1 0.4545 0.4545 0.2045
Ga2 0.5455 0.5455 0.7955
Ge1 0.0596 0.0596 0.9253
Ge2 0.3473 0.3473 0.3657
Ge3 0.6527 0.6527 0.6343
Ge4 0.9404 0.9404 0.0747

Output
Total DFT energy (no corrections) (eV/atom): -5.10
Fermi-level density of states (states/eV per atom): 0.2973
M_tot (μB per cell): 0.000

---

No. 6
Material: Pr2Ga3Ge
Method: DFT, GGA-PBE
State: relaxed

Unit cell a=8.5652 b=8.5394 c=6.0840 alpha=69.39 beta=68.94 gamma=41.67
Fractional positions:
Pr1 0.2461 0.7539 0.2461
Pr2 0.2500 0.2500 0.2500
Pr3 0.7500 0.7500 0.7500
Pr4 0.7539 0.2461 0.7539
Ga1 0.1693 0.6644 0.8307
Ga2 0.3344 0.3344 0.6656
Ga3 0.3356 0.8307 0.6644
Ga4 0.6644 0.1693 0.3356
Ga5 0.6656 0.6656 0.3344
Ga6 0.8307 0.3356 0.1693
Ge1 0.1670 0.1670 0.8330
Ge2 0.8330 0.8330 0.1670

Output
Total DFT energy (no corrections) (eV/atom): -4.59
Fermi-level density of states (states/eV per atom): 0.4299
M_tot (μB per cell): 0.000

---

No. 7
Material: Pr4GaGe2
Method: DFT, GGA-PBE
State: relaxed

Unit cell a=8.0152 b=8.0152 c=8.0152 alpha=109.46 beta=109.46 gamma=109.49
Fractional positions:
Pr1 0.1279 0.7395 0.7492
Pr2 0.1287 0.2403 0.7508
Pr3 0.2605 0.0097 0.3884
Pr4 0.4895 0.3779 0.2492
Pr5 0.6213 0.8721 0.6116
Pr6 0.6221 0.8713 0.1116
Pr7 0.7597 0.5105 0.8884
Pr8 0.9903 0.3787 0.2508
Ga1 0.0000 0.0000 0.0000
Ga2 0.7500 0.2500 0.5000
Ge1 0.2476 0.6250 0.1226
Ge2 0.3750 0.4976 0.6226
Ge3 0.5024 0.1250 0.8774
Ge4 0.8750 0.7524 0.3774

Output
Total DFT energy (no corrections) (eV/atom): -5.14
Fermi-level density of states (states/eV per atom): 1.0555
M_tot (μB per cell): 0.000

---

No. 8
Material: Pr3Ga4Ge4
Method: DFT, GGA-PBE
State: relaxed

Unit cell a=4.2389 b=4.3699 c=13.8561 alpha=99.05 beta=90.00 gamma=90.02
Fractional positions:
Pr1 0.0000 0.0000 0.0000
Pr2 0.0069 0.3622 0.7236
Pr3 0.9931 0.6378 0.2764
Ga1 0.0127 0.2287 0.4572
Ga2 0.4396 0.0890 0.1779
Ga3 0.5604 0.9110 0.8221
Ga4 0.9873 0.7713 0.5428
Ge1 0.4552 0.4546 0.9095
Ge2 0.4922 0.8243 0.6452
Ge3 0.5078 0.1757 0.3548
Ge4 0.5448 0.5454 0.0905

Output
Total DFT energy (no corrections) (eV/atom): -4.65
Fermi-level density of states (states/eV per atom): 0.2177
M_tot (μB per cell): 0.000

---

No. 9
Material: PrGaGe2
Method: DFT, GGA-PBE
State: relaxed

Unit cell a=5.7045 b=5.7045 c=5.7045 alpha=46.88 beta=46.88 gamma=46.88
Fractional positions:
Pr1 0.0000 0.0000 0.0000
Ga1 0.5000 0.5000 0.5000
Ge1 0.2134 0.2134 0.2134
Ge2 0.7866 0.7866 0.7866

Output
Total DFT energy (no corrections) (eV/atom): -4.61
Excess energy over the best structure of this formula in the dataset (eV per atom): 0.099
Fermi-level density of states (states/eV per atom): 0.5615
M_tot (μB per cell): 0.000

---

No. 10
Material: Pr2Ga3Ge
Method: DFT, GGA-PBE
State: relaxed

Unit cell a=4.2705 b=4.3322 c=7.3985 alpha=90.00 beta=90.00 gamma=90.00
Fractional positions:
Pr1 0.0000 0.0000 0.0000
Pr2 0.5000 0.0000 0.4929
Ga1 0.0000 0.5000 0.3351
Ga2 0.0000 0.5000 0.6665
Ga3 0.5000 0.5000 0.8254
Ge1 0.5000 0.5000 0.1599

Output
Total DFT energy (no corrections) (eV/atom): -4.60
Fermi-level density of states (states/eV per atom): 0.3067
M_tot (μB per cell): 0.000

---

No. 11
Material: Pr4GaGe3
Method: DFT, GGA-PBE
State: relaxed

Unit cell a=4.1184 b=4.5196 c=11.2866 alpha=90.00 beta=90.00 gamma=90.00
Fractional positions:
Pr1 0.0000 0.0000 0.0000
Pr2 0.0000 0.5000 0.4982
Pr3 0.5000 0.0000 0.2775
Pr4 0.5000 0.5000 0.7790
Ga1 0.5000 0.0000 0.5649
Ge1 0.0000 0.0000 0.7150
Ge2 0.0000 0.5000 0.2158
Ge3 0.5000 0.5000 0.0588

Output
Total DFT energy (no corrections) (eV/atom): -5.29
Fermi-level density of states (states/eV per atom): 0.7550
M_tot (μB per cell): 0.136

---

No. 12
Material: Pr3Ga2Ge2
Method: DFT, GGA-PBE
State: relaxed

Unit cell a=5.9952 b=5.9952 c=7.7769 alpha=112.07 beta=112.07 gamma=42.96
Fractional positions:
Pr1 0.0000 0.0000 0.0000
Pr2 0.1767 0.1767 0.6288
Pr3 0.8233 0.8233 0.3712
Ga1 0.3078 0.3078 0.0699
Ga2 0.6922 0.6922 0.9301
Ge1 0.4669 0.4669 0.6678
Ge2 0.5331 0.5331 0.3322

Output
Total DFT energy (no corrections) (eV/atom): -4.97
Excess energy over the best structure of this formula in the dataset (eV per atom): 0.035
Fermi-level density of states (states/eV per atom): 0.6048
M_tot (μB per cell): 0.000

---

No. 13
Material: PrGaGe
Method: DFT, GGA-PBE
State: relaxed

Unit cell a=5.1729 b=5.1729 c=5.1729 alpha=131.34 beta=131.34 gamma=71.27
Fractional positions:
Pr1 0.0000 0.0000 0.0000
Ga1 0.3500 0.3500 0.0000
Ge1 0.6482 0.6482 0.0000

Output
Total DFT energy (no corrections) (eV/atom): -4.47
Fermi-level density of states (states/eV per atom): 0.5185
M_tot (μB per cell): 0.000

---

No. 14
Material: Pr6Ga2Ge
Method: DFT, GGA-PBE
State: relaxed

Unit cell a=8.8829 b=8.8829 c=8.8829 alpha=111.47 beta=110.06 gamma=106.91
Fractional positions:
Pr1 0.0501 0.2473 0.8028
Pr2 0.1702 0.4600 0.2899
Pr3 0.1702 0.8803 0.7101
Pr4 0.3253 0.2362 0.5615
Pr5 0.3253 0.7638 0.0891
Pr6 0.4446 0.2473 0.1972
Pr7 0.5554 0.7527 0.8028
Pr8 0.6747 0.2362 0.9109
Pr9 0.6747 0.7638 0.4385
Pr10 0.8298 0.1197 0.2899
Pr11 0.8298 0.5400 0.7101
Pr12 0.9499 0.7527 0.1972
Ga1 0.1383 0.5000 0.6383
Ga2 0.3789 0.8789 0.5000
Ga3 0.6211 0.1211 0.5000
Ga4 0.8617 0.5000 0.3617
Ge1 0.0000 0.0000 0.0000
Ge2 0.5000 0.5000 0.0000

Output
Total DFT energy (no corrections) (eV/atom): -4.78
Fermi-level density of states (states/eV per atom): 1.1153
M_tot (μB per cell): 0.000

---

No. 15
Material: PrGaGe
Method: DFT, GGA-PBE
State: relaxed

Unit cell a=4.2493 b=4.2493 c=4.4225 alpha=90.00 beta=90.00 gamma=120.00
Fractional positions:
Pr1 0.0000 0.0000 0.0000
Ga1 0.6667 0.3333 0.5798
Ge1 0.3333 0.6667 0.4354

Output
Total DFT energy (no corrections) (eV/atom): -4.86
Fermi-level density of states (states/eV per atom): 0.1396
M_tot (μB per cell): 0.000

---

No. 16
Material: Pr3Ga4Ge2
Method: DFT, GGA-PBE
State: relaxed

Unit cell a=6.0813 b=6.0813 c=8.5567 alpha=99.49 beta=99.49 gamma=41.02
Fractional positions:
Pr1 0.0000 0.0000 0.0000
Pr2 0.3326 0.3326 0.3345
Pr3 0.6674 0.6674 0.6656
Ga1 0.0504 0.0504 0.3857
Ga2 0.2713 0.2713 0.9423
Ga3 0.7287 0.7287 0.0577
Ga4 0.9496 0.9496 0.6143
Ge1 0.3879 0.3879 0.7236
Ge2 0.6121 0.6121 0.2764

Output
Total DFT energy (no corrections) (eV/atom): -4.68
Fermi-level density of states (states/eV per atom): 0.3838
M_tot (μB per cell): 0.000

---

No. 17
Material: Pr3Ga2Ge2
Method: DFT, GGA-PBE
State: relaxed

Unit cell a=9.8980 b=9.8980 c=9.8980 alpha=155.89 beta=153.96 gamma=35.79
Fractional positions:
Pr1 0.0000 0.0000 0.0000
Pr2 0.1845 0.6845 0.5000
Pr3 0.8155 0.3155 0.5000
Ga1 0.4346 0.4346 0.0000
Ga2 0.5654 0.5654 0.0000
Ge1 0.3545 0.8545 0.5000
Ge2 0.6455 0.1455 0.5000

Output
Total DFT energy (no corrections) (eV/atom): -5.01
Excess energy over the best structure of this formula in the dataset (eV per atom): 0.000
Fermi-level density of states (states/eV per atom): 0.6837
M_tot (μB per cell): 0.580

---

No. 18
Material: PrGaGe2
Method: DFT, GGA-PBE
State: relaxed

Unit cell a=3.6868 b=3.6868 c=6.4014 alpha=90.00 beta=90.00 gamma=90.00
Fractional positions:
Pr1 0.0000 0.0000 0.0000
Ga1 0.0000 0.0000 0.5000
Ge1 0.5000 0.5000 0.3016
Ge2 0.5000 0.5000 0.6984

Output
Total DFT energy (no corrections) (eV/atom): -4.60
Excess energy over the best structure of this formula in the dataset (eV per atom): 0.113
Fermi-level density of states (states/eV per atom): 0.5146
M_tot (μB per cell): 0.000

---

No. 19
Material: PrGa3Ge
Method: DFT, GGA-PBE
State: relaxed

Unit cell a=5.8937 b=5.7960 c=6.7126 alpha=90.00 beta=110.48 gamma=90.00
Fractional positions:
Pr1 0.0069 0.2500 0.2600
Pr2 0.9931 0.7500 0.7400
Ga1 0.2131 0.2500 0.8820
Ga2 0.4952 0.0098 0.2336
Ga3 0.4952 0.4902 0.2336
Ga4 0.5048 0.5098 0.7664
Ga5 0.5048 0.9902 0.7664
Ga6 0.7869 0.7500 0.1180
Ge1 0.2345 0.7500 0.3889
Ge2 0.7655 0.2500 0.6111

Output
Total DFT energy (no corrections) (eV/atom): -4.08
Fermi-level density of states (states/eV per atom): 0.3576
M_tot (μB per cell): 0.000

---

No. 20
Material: Pr3GaGe3
Method: DFT, GGA-PBE
State: relaxed

Unit cell a=9.8621 b=9.8621 c=9.8621 alpha=155.86 beta=153.74 gamma=35.97
Fractional positions:
Pr1 0.0000 0.0000 0.0000
Pr2 0.1851 0.6851 0.5000
Pr3 0.3659 0.3659 0.0000
Ga1 0.6161 0.1161 0.5000
Ge1 0.5355 0.5355 0.0000
Ge2 0.7485 0.2485 0.5000
Ge3 0.8350 0.8350 0.0000

Output
Total DFT energy (no corrections) (eV/atom): -5.23
Fermi-level density of states (states/eV per atom): 0.5863
M_tot (μB per cell): 0.000